[1]
Here is an optimized crystal structure of TmPuIn6 from Alexandria. Energies are from PBE.

abc: 5.290 6.603 6.603
angles: 120.03 90.00 90.00
Site moments in Bohr magnetons follow the coordinates.
Fractional positions:
In 0.500 0.421 0.086  -0.01
In 0.000 0.588 0.927  0.00
In 0.000 0.073 0.412  0.00
In 0.500 0.914 0.086  -0.01
In 0.500 0.914 0.579  -0.01
In 0.000 0.589 0.411  0.00
Pu 0.500 0.417 0.583  5.41
Tm 0.000 0.083 0.917  -0.09

Output
- ΔE to the lowest computed polymorph (eV per atom) = 0.051
- density of states at the Fermi level (states/eV/f.u.) = 12.7
- space group = P-6m2 (187)
- density (g cm⁻³) = 9.164
- energy relative to the elements (meV/atom) = -249
- crystal system = hexagonal


[2]
Here is an optimized crystal structure of Sr3AsC from Alexandria. Energies are from PBE.

abc: 5.232 5.232 5.232
angles: 90.00 90.00 90.00
Fractional positions:
C 0.000 0.000 0.000
Sr 0.000 0.000 0.500
Sr 0.500 0.000 0.000
Sr 0.000 0.500 0.000
As 0.500 0.500 0.500

Output
- ΔE to the lowest computed polymorph (eV per atom) = 0.000
- density of states at the Fermi level (states/eV/f.u.) = 3.8
- space group = Pm-3m (221)
- density (g cm⁻³) = 4.054
- energy relative to the elements (meV/atom) = -161
- crystal system = cubic


[3]
Here is an optimized crystal structure of ZnFe2MoC from Alexandria. Energies are from PBE.

abc: 3.845 3.845 4.169
angles: 90.00 90.00 90.00
Site moments in Bohr magnetons follow the coordinates.
Fractional positions:
Fe 0.000 0.500 0.000  2.33
Fe 0.500 0.000 0.000  2.33
C 0.000 0.000 0.000  -0.07
Zn 0.500 0.500 0.500  0.00
Mo 0.000 0.000 0.500  0.46

Output
- density of states at the Fermi level (states/eV/f.u.) = 4.5
- space group = P4/mmm (123)
- density (g cm⁻³) = 7.682
- energy relative to the elements (meV/atom) = 105
- crystal system = tetragonal


[4]
Here is an optimized crystal structure of KY3As from Alexandria. Energies are from PBE.

abc: 5.339 5.339 5.339
angles: 90.00 90.00 90.00
Fractional positions:
Y 0.000 0.500 0.000
Y 0.000 0.000 0.500
Y 0.500 0.000 0.000
As 0.500 0.500 0.500
K 0.000 0.000 0.000

Output
- ΔE to the lowest computed polymorph (eV per atom) = 1.388
- density of states at the Fermi level (states/eV/f.u.) = 3.2
- space group = Pm-3m (221)
- density (g cm⁻³) = 4.154
- energy relative to the elements (meV/atom) = 1256
- crystal system = cubic


[5]
Here is an optimized crystal structure of HfGa4Co from Alexandria. Energies are from PBE.

abc: 4.045 5.596 9.406
angles: 90.00 102.42 90.00
Fractional positions:
Hf 0.862 0.905 0.724
Hf 0.138 0.405 0.276
Ga 0.085 0.916 0.171
Ga 0.523 0.303 0.046
Ga 0.319 0.544 0.639
Ga 0.477 0.803 0.954
Ga 0.915 0.416 0.829
Ga 0.681 0.044 0.361
Ga 0.733 0.608 0.466
Ga 0.267 0.108 0.534
Co 0.601 0.657 0.202
Co 0.399 0.157 0.798

Output
- ΔE to the lowest computed polymorph (eV per atom) = 0.031
- density of states at the Fermi level (states/eV/f.u.) = 3.1
- space group = Cmc2_1 (36)
- density (g cm⁻³) = 8.247
- energy relative to the elements (meV/atom) = -213
- crystal system = orthorhombic


[6]
Here is an optimized crystal structure of ScGaPt2 from Alexandria. Energies are from PBE.

abc: 7.124 7.124 5.791
angles: 52.04 52.04 90.00
Fractional positions:
Ga 0.000 0.000 0.000
Ga 0.750 0.250 0.500
Pt 0.105 0.625 0.250
Pt 0.375 0.355 0.750
Pt 0.875 0.895 0.750
Pt 0.645 0.125 0.250
Sc 0.500 0.500 0.000
Sc 0.250 0.750 0.500

Output
- density of states at the Fermi level (states/eV/f.u.) = 1.0
- space group = I-42d (122)
- density (g cm⁻³) = 11.565
- energy relative to the elements (meV/atom) = -656
- crystal system = tetragonal


[7]
Here is an optimized crystal structure of TaAl4 from Alexandria. Energies are from PBE.

abc: 5.113 5.849 5.113
angles: 129.91 62.08 129.91
Fractional positions:
Ta 0.000 0.000 0.000
Al 0.342 0.684 0.342
Al 0.250 0.500 0.750
Al 0.750 0.500 0.250
Al 0.658 0.316 0.658

Output
- ΔE to the lowest computed polymorph (eV per atom) = 0.424
- density of states at the Fermi level (states/eV/f.u.) = 4.2
- space group = Fmmm (69)
- density (g cm⁻³) = 5.358
- energy relative to the elements (meV/atom) = 257
- crystal system = orthorhombic


[8]
Here is an optimized crystal structure of TbErCdCu from Alexandria. Energies are from PBE.

abc: 5.106 5.106 5.106
angles: 60.00 60.00 60.00
Fractional positions:
Cu 0.250 0.250 0.250
Tb 0.500 0.500 0.500
Er 0.000 0.000 0.000
Cd 0.750 0.750 0.750

Output
- ΔE to the lowest computed polymorph (eV per atom) = 0.046
- density of states at the Fermi level (states/eV/f.u.) = 2.9
- space group = F-43m (216)
- density (g cm⁻³) = 8.858
- energy relative to the elements (meV/atom) = -232
- crystal system = cubic


[9]
Here is an optimized crystal structure of Mn2Cd from Alexandria. Energies are from PBE.

abc: 7.811 7.811 2.932
angles: 90.00 90.00 120.00
Site moments in Bohr magnetons follow the coordinates.
Fractional positions:
Mn 0.696 0.696 0.000  3.63
Mn 0.362 0.362 0.500  3.65
Mn 0.638 0.000 0.500  3.65
Mn 0.304 0.000 0.000  3.63
Mn 0.000 0.304 0.000  3.63
Mn 0.000 0.638 0.500  3.65
Cd 0.000 0.000 0.500  -0.07
Cd 0.333 0.667 0.000  -0.07
Cd 0.667 0.333 0.000  -0.07

Output
- density of states at the Fermi level (states/eV/f.u.) = 3.1
- space group = P-62m (189)
- density (g cm⁻³) = 7.149
- energy relative to the elements (meV/atom) = 485
- crystal system = hexagonal


[10]
Here is an optimized crystal structure of GdMgRuPt from Alexandria. Energies are from PBE.

abc: 4.699 4.699 4.699
angles: 60.00 60.00 60.00
Site moments in Bohr magnetons follow the coordinates.
Fractional positions:
Gd 0.000 0.000 0.000  6.97
Ru 0.750 0.750 0.750  -0.02
Mg 0.500 0.500 0.500  0.00
Pt 0.250 0.250 0.250  -0.01

Output
- density of states at the Fermi level (states/eV/f.u.) = 1.7
- space group = F-43m (216)
- density (g cm⁻³) = 10.809
- energy relative to the elements (meV/atom) = -523
- crystal system = cubic


[11]
Here is an optimized crystal structure of Pm2PrNd5Dy from Alexandria. Energies are from PBE.

abc: 8.962 8.962 10.115
angles: 116.30 116.30 90.00
Fractional positions:
Pm 0.616 0.116 0.000
Pm 0.116 0.384 0.000
Pm 0.884 0.616 0.000
Pm 0.384 0.884 0.000
Nd 0.500 0.500 0.000
Nd 0.570 0.654 0.724
Nd 0.346 0.846 0.276
Nd 0.430 0.346 0.276
Nd 0.070 0.570 0.724
Nd 0.000 0.000 0.000
Nd 0.846 0.930 0.276
Nd 0.654 0.154 0.724
Nd 0.930 0.430 0.276
Nd 0.154 0.070 0.724
Dy 0.250 0.750 0.500
Dy 0.750 0.250 0.500
Pr 0.250 0.250 0.500
Pr 0.750 0.750 0.500

Output
- density of states at the Fermi level (states/eV/f.u.) = 13.9
- space group = I4/mcm (140)
- density (g cm⁻³) = 6.895
- energy relative to the elements (meV/atom) = 270
- crystal system = tetragonal


[12]
Here is an optimized crystal structure of YBeAl2Co from Alexandria. Energies are from PBE.

abc: 5.511 4.592 5.511
angles: 90.00 90.00 90.00
Site moments in Bohr magnetons follow the coordinates.
Fractional positions:
Al 0.000 0.000 0.500  -0.01
Al 0.500 0.000 0.000  0.00
Co 0.000 0.500 0.000  0.78
Y 0.000 0.000 0.000  -0.12
Be 0.500 0.500 0.500  -0.01

Output
- density of states at the Fermi level (states/eV/f.u.) = 4.6
- space group = P4/mmm (123)
- density (g cm⁻³) = 2.510
- energy relative to the elements (meV/atom) = 1745
- crystal system = tetragonal


[13]
Here is an optimized crystal structure of Mg2UF8 from Alexandria. Energies are from PBE.

abc: 3.905 5.755 5.755
angles: 111.23 97.17 97.17
Site moments in Bohr magnetons follow the coordinates.
Fractional positions:
Mg 0.000 0.676 0.324  0.00
Mg 0.000 0.324 0.676  0.00
U 0.500 0.000 0.000  2.00
F 0.500 0.757 0.243  -0.01
F 0.922 0.944 0.685  -0.01
F 0.922 0.685 0.944  -0.01
F 0.689 0.365 0.365  -0.01
F 0.500 0.243 0.757  -0.01
F 0.311 0.635 0.635  -0.01
F 0.078 0.056 0.315  -0.01
F 0.078 0.315 0.056  -0.01

Output
- density of states at the Fermi level (states/eV/f.u.) = 9.8
- space group = C2/m (12)
- density (g cm⁻³) = 6.194
- formation energy (no corrections) (eV per formula unit) = -37.3
- crystal system = monoclinic


[14]
Here is an optimized crystal structure of Co4Ir from Alexandria. Energies are from PBE.

abc: 5.712 5.712 4.423
angles: 49.78 49.78 90.00
Site moments in Bohr magnetons follow the coordinates.
Fractional positions:
Co 0.402 0.805 0.000  1.63
Co 0.598 0.195 0.000  1.63
Co 0.805 0.598 0.000  1.63
Co 0.195 0.402 0.000  1.63
Ir 0.000 0.000 0.000  0.54

Output
- ΔE to the lowest computed polymorph (eV per atom) = 0.000
- density of states at the Fermi level (states/eV/f.u.) = 8.3
- space group = I4/m (87)
- density (g cm⁻³) = 12.081
- energy relative to the elements (meV/atom) = 41
- crystal system = tetragonal


[15]
Here is an optimized crystal structure of MgTa2Te from Alexandria. Energies are from PBE.

abc: 5.853 5.853 3.189
angles: 73.95 73.95 118.38
Fractional positions:
Ta 0.000 0.000 0.000
Ta 0.500 0.500 0.000
Mg 0.000 0.500 0.500
Te 0.500 0.000 0.500

Output
- ΔE to the lowest computed polymorph (eV per atom) = 0.293
- density of states at the Fermi level (states/eV/f.u.) = 3.5
- space group = C2/m (12)
- density (g cm⁻³) = 10.541
- formation energy (no corrections) (eV per formula unit) = 1.6
- crystal system = monoclinic


[16]
Here is an optimized crystal structure of Rb3Er2InS6 from Alexandria. Energies are from PBE.

abc: 6.963 6.963 8.031
angles: 98.32 98.32 120.00
Fractional positions:
In 0.000 0.000 0.000
S 0.734 0.734 0.190
S 0.607 0.937 0.810
S 0.937 0.607 0.810
S 0.393 0.063 0.190
S 0.266 0.266 0.810
S 0.063 0.393 0.190
Er 0.667 0.333 0.000
Er 0.333 0.667 0.000
Rb 0.500 0.500 0.500
Rb 0.833 0.167 0.500
Rb 0.167 0.833 0.500

Output
- density of states at the Fermi level (states/eV/f.u.) = 0.0
- space group = C2/m (12)
- density (g cm⁻³) = 4.620
- formation energy (no corrections) (eV per formula unit) = -18.0
- crystal system = monoclinic


[17]
Here is an optimized crystal structure of Fe2TcSb from Alexandria. Energies are from PBE.

abc: 4.911 4.911 4.911
angles: 139.49 129.83 66.38
Site moments in Bohr magnetons follow the coordinates.
Fractional positions:
Sb 0.508 0.508 0.000  -0.04
Fe 0.986 0.986 0.000  2.33
Fe 0.761 0.261 0.500  2.42
Tc 0.245 0.745 0.500  0.44

Output
- density of states at the Fermi level (states/eV/f.u.) = 3.7
- space group = Imm2 (44)
- density (g cm⁻³) = 9.455
- formation energy (no corrections) (eV per formula unit) = 0.8
- crystal system = orthorhombic


[18]
Here is an optimized crystal structure of Tb2CrOs from Alexandria. Energies are from PBE.

abc: 3.284 3.284 10.248
angles: 80.78 80.78 60.00
Site moments in Bohr magnetons follow the coordinates.
Fractional positions:
Tb 0.096 0.096 0.711  -0.16
Tb 0.904 0.904 0.289  -0.16
Cr 0.000 0.000 0.000  3.70
Os 0.500 0.500 0.500  -0.05

Output
- density of states at the Fermi level (states/eV/f.u.) = 2.9
- space group = R-3m (166)
- density (g cm⁻³) = 9.886
- energy relative to the elements (meV/atom) = 683
- crystal system = trigonal


[19]
Here is an optimized crystal structure of CaMnH2 from Alexandria. Energies are from PBE.

abc: 5.081 5.081 5.150
angles: 60.44 60.44 90.00
Site moments in Bohr magnetons follow the coordinates.
Fractional positions:
H 0.719 0.125 0.250  -0.02
H 0.031 0.625 0.250  -0.01
H 0.875 0.969 0.750  -0.02
H 0.375 0.281 0.750  -0.02
Ca 0.500 0.500 0.000  -0.06
Ca 0.250 0.750 0.500  -0.06
Mn 0.000 0.000 0.000  3.08
Mn 0.750 0.250 0.500  3.09

Output
- ΔE to the lowest computed polymorph (eV per atom) = 0.000
- density of states at the Fermi level (states/eV/f.u.) = 2.0
- space group = I-42d (122)
- density (g cm⁻³) = 3.383
- crystal system = tetragonal


[20]
Here is an optimized crystal structure of PrNd2ZrN4 from Alexandria. Energies are from PBE.

abc: 3.538 6.165 6.151
angles: 109.11 90.00 90.00
Fractional positions:
N 0.500 0.226 0.228
N 0.000 0.768 0.236
N 0.000 0.232 0.764
N 0.500 0.774 0.772
Pr 0.500 0.500 0.000
Zr 0.000 0.000 0.000
Nd 0.000 0.500 0.500
Nd 0.500 0.000 0.500

Output
- density of states at the Fermi level (states/eV/f.u.) = 1.1
- space group = P2/m (10)
- density (g cm⁻³) = 7.554
- formation energy (no corrections) (eV per formula unit) = -11.3
- crystal system = monoclinic